Pm2CoSiO6 after structural relaxation. Source: Alexandria, functional PBE with a Hubbard U.

Summary:
- Total DFT energy (no corrections): -7.725 eV/atom
- Density of states at the Fermi level: 0.0000 states/eV/atom
- Theoretical density: 7.085 Mg/m³

Cell: 5.463 5.470 5.341 Å, 58.98 58.82 59.91°
Positions (direct):
1 O 0.157 0.011 0.294
2 Pm 0.068 0.070 0.794
3 O 0.091 0.476 0.815
4 O 0.014 0.537 0.294
5 O 0.542 0.156 0.288
6 Pm 0.564 0.562 0.309
7 O 0.475 0.621 0.809
8 Si 0.316 0.316 0.052
9 Co 0.816 0.816 0.552
10 O 0.619 0.095 0.809


PmCo2SiO6 after structural relaxation. Source: Alexandria, functional PBE with a Hubbard U.

Summary:
- Total DFT energy (no corrections): -7.037 eV/atom
- Density of states at the Fermi level: 0.0000 states/eV/atom
- Theoretical density: 6.055 Mg/m³

Cell: 5.059 5.059 5.609 Å, 63.19 63.20 60.00°
Positions (direct):
1 Pm 0.798 0.798 0.606
2 Si 0.326 0.326 0.021
3 Co 0.534 0.534 0.399
4 O 0.240 0.960 0.216
5 Co 0.004 0.004 0.988
6 O 0.960 0.583 0.216
7 O 0.343 0.712 0.784
8 O 0.583 0.240 0.216
9 O 0.161 0.343 0.784
10 O 0.712 0.161 0.784


Pm2CoSnO6 after structural relaxation. Source: Alexandria, functional PBE with a Hubbard U.

Summary:
- Total DFT energy (no corrections): -7.269 eV/atom
- Density of states at the Fermi level: 0.0000 states/eV/atom
- Theoretical density: 7.233 Mg/m³

Cell: 5.542 5.848 7.987 Å, 90.00 89.19 90.00°
Positions (direct):
1 Sn 0.500 0.000 0.500
2 Pm 0.521 0.566 0.751
3 O 0.809 0.798 0.938
4 O 0.803 0.806 0.558
5 O 0.309 0.702 0.438
6 O 0.191 0.202 0.062
7 O 0.883 0.544 0.248
8 Co 0.000 0.500 0.500
9 O 0.697 0.306 0.942
10 O 0.197 0.194 0.442
11 O 0.617 0.044 0.252
12 O 0.383 0.956 0.748
13 O 0.303 0.694 0.058
14 Pm 0.979 0.066 0.749
15 O 0.691 0.298 0.562
16 Sn 0.000 0.500 0.000
17 Pm 0.479 0.434 0.249
18 Co 0.500 0.000 0.000
19 Pm 0.021 0.934 0.251
20 O 0.117 0.456 0.752


PmCo2SnO6 after structural relaxation. Source: Alexandria, functional PBE with a Hubbard U.

Summary:
- Total DFT energy (no corrections): -6.614 eV/atom
- Theoretical density: 6.554 Mg/m³

Cell: 5.374 5.475 5.718 Å, 62.56 61.52 58.54°
Positions (direct):
1 O 0.344 0.736 0.764
2 O 0.630 0.229 0.224
3 O 0.176 0.359 0.740
4 O 0.905 0.606 0.249
5 O 0.743 0.151 0.764
6 Co 0.007 0.019 0.967
7 Sn 0.309 0.317 0.054
8 Co 0.522 0.525 0.425
9 O 0.236 0.917 0.217
10 Pm 0.789 0.801 0.613


Sr2PmCoO5 after structural relaxation. Source: Alexandria, functional PBE with a Hubbard U.

Summary:
- Total DFT energy (no corrections): -6.518 eV/atom
- Theoretical density: 6.224 Mg/m³

Cell: 3.682 5.611 6.814 Å, 114.31 105.68 90.00°
Positions (direct):
1 O 0.616 0.374 0.232
2 O 0.616 0.857 0.232
3 Sr 0.797 0.797 0.594
4 Pm 0.000 0.500 0.000
5 Sr 0.203 0.203 0.406
6 O 0.384 0.626 0.768
7 Co 0.500 0.000 0.000
8 O 0.384 0.143 0.768
9 O 0.000 0.000 0.000


SrPm2CoO5 after structural relaxation. Source: Alexandria, functional PBE with a Hubbard U.

Summary:
- Total DFT energy (no corrections): -7.261 eV/atom
- Density of states at the Fermi level: 0.0000 states/eV/atom
- Theoretical density: 6.671 Mg/m³

Cell: 6.674 6.674 7.457 Å, 116.58 116.58 90.00°
Positions (direct):
1 Sr 0.750 0.750 0.500
2 O 0.015 0.515 0.736
3 Pm 0.326 0.826 0.000
4 O 0.279 0.779 0.264
5 Pm 0.826 0.674 0.000
6 O 0.485 0.279 0.264
7 O 0.000 0.000 0.000
8 O 0.515 0.721 0.736
9 O 0.221 0.015 0.736
10 Co 0.750 0.250 0.500
11 O 0.500 0.500 0.000
12 Pm 0.174 0.326 0.000
13 O 0.985 0.485 0.264
14 Sr 0.250 0.250 0.500
15 O 0.779 0.985 0.264
16 O 0.721 0.221 0.736
17 Pm 0.674 0.174 0.000
18 Co 0.250 0.750 0.500


SrPmCoO4 after structural relaxation. Source: Alexandria, functional PBE with a Hubbard U.

Summary:
- Total DFT energy (no corrections): -6.841 eV/atom
- Density of states at the Fermi level: 0.0426 states/eV/atom
- Theoretical density: 6.519 Mg/m³

Cell: 3.814 3.814 6.784 Å, 106.33 106.33 90.00°
Positions (direct):
1 O 0.491 0.991 0.981
2 O 0.991 0.491 0.981
3 Pm 0.361 0.361 0.721
4 Co 0.002 0.002 0.004
5 Sr 0.643 0.643 0.287
6 O 0.837 0.837 0.675
7 O 0.175 0.175 0.350


PmTa2CoO8 after structural relaxation. Source: Alexandria, functional PBE with a Hubbard U.

Summary:
- Total DFT energy (no corrections): -8.602 eV/atom
- Theoretical density: 7.482 Mg/m³

Cell: 4.940 4.937 6.337 Å, 89.55 89.55 85.10°
Positions (direct):
1 O 0.792 0.202 0.212
2 O 0.682 0.682 0.998
3 Co 0.000 0.000 0.000
4 Pm 0.000 0.000 0.500
5 O 0.208 0.798 0.788
6 O 0.202 0.791 0.212
7 O 0.672 0.673 0.494
8 Ta 0.516 0.516 0.237
9 O 0.798 0.209 0.788
10 Ta 0.484 0.484 0.763
11 O 0.318 0.318 0.002
12 O 0.328 0.327 0.506


PmCo2TcO8 after structural relaxation. Source: Alexandria, functional PBE with a Hubbard U.

Summary:
- Total DFT energy (no corrections): -6.757 eV/atom
- Density of states at the Fermi level: 0.0022 states/eV/atom
- Theoretical density: 5.464 Mg/m³

Cell: 5.781 5.781 5.781 Å, 108.49 108.49 111.44°
Positions (direct):
1 O 0.292 0.453 0.161
2 O 0.547 0.708 0.839
3 Pm 0.250 0.750 0.500
4 O 0.939 0.218 0.279
5 O 0.939 0.659 0.721
6 Tc 0.000 0.000 0.000
7 Co 0.500 0.500 0.000
8 O 0.869 0.708 0.161
9 O 0.782 0.061 0.721
10 Co 0.750 0.250 0.500
11 O 0.341 0.061 0.279
12 O 0.292 0.131 0.839


PmCoTc2O8 after structural relaxation. Source: Alexandria, functional PBE with a Hubbard U.

Summary:
- Total DFT energy (no corrections): -7.493 eV/atom
- Density of states at the Fermi level: 0.5171 states/eV/atom
- Theoretical density: 5.882 Mg/m³

Cell: 5.159 5.159 6.683 Å, 112.71 112.71 90.00°
Positions (direct):
1 O 0.404 0.329 0.162
2 O 0.086 0.001 0.677
3 Tc 0.250 0.750 0.500
4 O 0.168 0.596 0.838
5 Co 0.000 0.000 0.000
6 O 0.758 0.832 0.162
7 Pm 0.750 0.250 0.500
8 Tc 0.500 0.500 0.000
9 O 0.591 0.676 0.677
10 O 0.671 0.242 0.838
11 O 0.999 0.409 0.323
12 O 0.324 0.914 0.323


PmCoTcO6 after structural relaxation. Source: Alexandria, functional PBE with a Hubbard U.

Summary:
- Total DFT energy (no corrections): -7.334 eV/atom
- Density of states at the Fermi level: 0.4556 states/eV/atom
- Theoretical density: 5.884 Mg/m³

Cell: 5.080 5.080 5.025 Å, 90.00 90.00 60.00°
Positions (direct):
1 Pm 0.000 0.000 0.000
2 O 0.375 0.997 0.712
3 Co 0.667 0.667 0.500
4 O 0.629 0.997 0.288
5 O 0.629 0.375 0.712
6 O 0.997 0.375 0.288
7 Tc 0.333 0.333 0.500
8 O 0.375 0.629 0.288
9 O 0.997 0.629 0.712


PmCo2TeO6 after structural relaxation. Source: Alexandria, functional PBE with a Hubbard U.

Summary:
- Total DFT energy (no corrections): -6.349 eV/atom
- Theoretical density: 6.938 Mg/m³

Cell: 5.592 5.593 5.378 Å, 58.65 58.68 59.93°
Positions (direct):
1 O 0.661 0.287 0.197
2 Pm 0.759 0.761 0.720
3 Co 0.017 0.017 0.949
4 Te 0.302 0.303 0.092
5 O 0.289 0.855 0.195
6 O 0.706 0.191 0.742
7 Co 0.520 0.519 0.441
8 O 0.855 0.661 0.196
9 O 0.362 0.706 0.742
10 O 0.191 0.362 0.741